No. 1
## K2CoH12C4O14 (PBE with a Hubbard U)

Data for a relaxed K2CoH12C4O14 crystal.

Output
* crystal system: monoclinic
* E: -5.85 eV/atom
* ρ: 2.2 g cm⁻³

Cell: 8.512 6.538 12.885 Å, 90.00 118.68 90.00°
Element x y z (fractional)
1 K 0.186 0.166 0.122
2 K 0.186 0.334 0.622
3 K 0.814 0.666 0.378
4 K 0.814 0.834 0.878
5 Co 0.500 0.000 0.500
6 Co 0.500 0.500 0.000
7 H 0.070 0.591 0.149
8 H 0.070 0.909 0.649
9 H 0.081 0.005 0.767
10 H 0.081 0.495 0.267
11 H 0.171 0.087 0.347
12 H 0.171 0.413 0.847
13 H 0.283 0.208 0.876
14 H 0.283 0.292 0.376
15 H 0.439 0.503 0.227
16 H 0.439 0.997 0.727
17 H 0.442 0.576 0.345
18 H 0.442 0.924 0.845
19 H 0.558 0.076 0.155
20 H 0.558 0.424 0.655
21 H 0.561 0.003 0.273
22 H 0.561 0.497 0.773
23 H 0.717 0.708 0.624
24 H 0.717 0.792 0.124
25 H 0.829 0.587 0.153
26 H 0.829 0.913 0.653
27 H 0.919 0.505 0.733
28 H 0.919 0.995 0.233
29 H 0.930 0.091 0.351
30 H 0.930 0.409 0.851
31 C 0.240 0.695 0.045
32 C 0.240 0.805 0.545
33 C 0.264 0.668 0.456
34 C 0.264 0.832 0.956
35 C 0.736 0.168 0.044
36 C 0.736 0.332 0.544
37 C 0.760 0.195 0.455
38 C 0.760 0.305 0.955
39 O 0.014 0.012 0.680
40 O 0.014 0.488 0.180
41 O 0.131 0.749 0.579
42 O 0.131 0.751 0.079
43 O 0.170 0.509 0.417
44 O 0.170 0.991 0.917
45 O 0.288 0.147 0.358
46 O 0.288 0.353 0.858
47 O 0.331 0.529 0.075
48 O 0.331 0.971 0.575
49 O 0.379 0.728 0.425
50 O 0.379 0.772 0.925
51 O 0.498 0.020 0.813
52 O 0.498 0.480 0.313
53 O 0.502 0.520 0.687
54 O 0.502 0.980 0.187
55 O 0.621 0.228 0.075
56 O 0.621 0.272 0.575
57 O 0.669 0.029 0.425
58 O 0.669 0.471 0.925
59 O 0.712 0.647 0.142
60 O 0.712 0.853 0.642
61 O 0.830 0.009 0.083
62 O 0.830 0.491 0.583
63 O 0.869 0.249 0.921
64 O 0.869 0.251 0.421
65 O 0.986 0.512 0.820
66 O 0.986 0.988 0.320


No. 2
## K2CoH8C2O10 (PBE with a Hubbard U)

Data for a relaxed K2CoH8C2O10 crystal.

Output
* crystal system: monoclinic
* E: -5.71 eV/atom
* ρ: 2.5 g cm⁻³

Cell: 6.642 6.011 12.122 Å, 90.00 114.24 90.00°
Element x y z (fractional)
1 K 0.228 0.147 0.318
2 K 0.228 0.353 0.818
3 K 0.772 0.647 0.182
4 K 0.772 0.853 0.682
5 Co 0.000 0.000 0.000
6 Co 0.000 0.500 0.500
7 H 0.197 0.668 0.363
8 H 0.197 0.832 0.863
9 H 0.210 0.686 0.980
10 H 0.210 0.814 0.480
11 H 0.301 0.180 0.573
12 H 0.301 0.320 0.073
13 H 0.429 0.094 0.110
14 H 0.429 0.406 0.610
15 H 0.571 0.594 0.390
16 H 0.571 0.906 0.890
17 H 0.699 0.680 0.927
18 H 0.699 0.820 0.427
19 H 0.790 0.186 0.520
20 H 0.790 0.314 0.020
21 H 0.803 0.168 0.137
22 H 0.803 0.332 0.637
23 C 0.261 0.652 0.178
24 C 0.261 0.848 0.678
25 C 0.739 0.152 0.322
26 C 0.739 0.348 0.822
27 O 0.104 0.741 0.401
28 O 0.104 0.759 0.901
29 O 0.124 0.682 0.650
30 O 0.124 0.818 0.150
31 O 0.294 0.161 0.045
32 O 0.294 0.339 0.545
33 O 0.321 0.560 0.283
34 O 0.321 0.940 0.783
35 O 0.339 0.578 0.103
36 O 0.339 0.922 0.603
37 O 0.661 0.078 0.397
38 O 0.661 0.422 0.897
39 O 0.679 0.060 0.217
40 O 0.679 0.440 0.717
41 O 0.706 0.661 0.455
42 O 0.706 0.839 0.955
43 O 0.876 0.182 0.850
44 O 0.876 0.318 0.350
45 O 0.896 0.241 0.099
46 O 0.896 0.259 0.599


No. 3
## KCoH3C3O6 (PBE with a Hubbard U)

Data for a relaxed KCoH3C3O6 crystal.

Output
* crystal system: hexagonal
* ρ: 2.2 g cm⁻³
* relative energy among the computed polymorphs: 0 meV per atom

Cell: 6.900 6.900 8.480 Å, 90.00 90.00 120.00°
Element x y z (fractional)
1 K 0.000 0.000 0.250
2 K 0.000 0.000 0.750
3 Co 0.333 0.667 0.250
4 Co 0.667 0.333 0.750
5 H 0.000 0.403 0.000
6 H 0.000 0.597 0.500
7 H 0.403 0.000 0.000
8 H 0.403 0.403 0.500
9 H 0.597 0.000 0.500
10 H 0.597 0.597 0.000
11 C 0.000 0.437 0.500
12 C 0.000 0.563 0.000
13 C 0.437 0.000 0.500
14 C 0.437 0.437 0.000
15 C 0.563 0.000 0.000
16 C 0.563 0.563 0.500
17 O 0.098 0.399 0.388
18 O 0.098 0.699 0.112
19 O 0.301 0.399 0.112
20 O 0.301 0.902 0.388
21 O 0.399 0.098 0.612
22 O 0.399 0.301 0.888
23 O 0.601 0.699 0.388
24 O 0.601 0.902 0.112
25 O 0.699 0.098 0.888
26 O 0.699 0.601 0.612
27 O 0.902 0.301 0.612
28 O 0.902 0.601 0.888


No. 4
## KCoH3C3O6 (PBE with a Hubbard U)

Data for a relaxed KCoH3C3O6 crystal.

Output
* crystal system: monoclinic
* ρ: 2.4 g cm⁻³
* relative energy among the computed polymorphs: 6 meV per atom

Cell: 6.927 6.927 6.729 Å, 92.95 92.95 80.70°
Element x y z (fractional)
1 K 0.099 0.901 0.750
2 K 0.901 0.099 0.250
3 Co 0.000 0.500 0.000
4 Co 0.500 0.000 0.500
5 H 0.323 0.435 0.504
6 H 0.378 0.622 0.250
7 H 0.435 0.323 0.004
8 H 0.565 0.677 0.996
9 H 0.622 0.378 0.750
10 H 0.677 0.565 0.496
11 C 0.255 0.745 0.250
12 C 0.263 0.380 0.636
13 C 0.380 0.263 0.136
14 C 0.620 0.737 0.864
15 C 0.737 0.620 0.364
16 C 0.745 0.255 0.750
17 O 0.116 0.741 0.120
18 O 0.166 0.509 0.749
19 O 0.197 0.297 0.162
20 O 0.259 0.884 0.380
21 O 0.297 0.197 0.662
22 O 0.491 0.834 0.751
23 O 0.509 0.166 0.249
24 O 0.703 0.803 0.338
25 O 0.741 0.116 0.620
26 O 0.803 0.703 0.838
27 O 0.834 0.491 0.251
28 O 0.884 0.259 0.880